Record 1
Compound: ZrPdPb2
Source: OQMD via LeMat-Bulk
Functional: PBE
Structure: optimized geometry

The structure in POSCAR format:
```
ZrPdPb2
1.0
7.2159 0.0000 0.0000
0.0000 7.2159 0.0000
0.0000 0.0000 7.2159
Zr Pd Pb
4 4 8
Cartesian
0.0000 0.0000 0.0000
0.0000 3.6080 3.6080
3.6080 0.0000 3.6080
3.6080 3.6080 0.0000
1.8040 1.8040 1.8040
1.8040 5.4120 5.4120
5.4120 1.8040 5.4120
5.4120 5.4120 1.8040
0.0000 0.0000 3.6080
0.0000 3.6080 0.0000
1.8040 1.8040 5.4120
1.8040 5.4120 1.8040
3.6080 0.0000 0.0000
3.6080 3.6080 3.6080
5.4120 1.8040 1.8040
5.4120 5.4120 5.4120
```

Properties
E_tot (eV/atom): -5.234

Record 2
Compound: TaMo2W2
Source: OQMD via LeMat-Bulk
Functional: PBE
Structure: optimized geometry

The structure in POSCAR format:
```
TaMo2W2
1.0
4.1216 0.0000 0.0000
0.0000 4.1216 0.0000
0.0000 0.0000 11.0383
Ta Mo W
2 4 4
Cartesian
0.0000 0.0000 0.0000
2.0608 2.0608 5.5191
0.0000 2.0608 2.7596
0.0000 2.0608 8.2787
2.0608 0.0000 2.7596
2.0608 0.0000 8.2787
0.0000 0.0000 4.2614
0.0000 0.0000 6.7769
2.0608 2.0608 1.2577
2.0608 2.0608 9.7805
```

Properties
E_tot (eV/atom): -10.969

Record 3
Compound: ZrZn
Source: OQMD via LeMat-Bulk
Functional: PBE
Structure: optimized geometry

The structure in POSCAR format:
```
ZrZn
1.0
6.1138 0.0000 0.0000
0.0000 5.0779 0.0000
0.0000 0.0000 4.9635
Zr Zn
4 4
Cartesian
0.8791 0.2244 1.2409
0.8791 2.3146 3.7226
5.2347 2.7633 1.2409
5.2347 4.8536 3.7226
2.3199 2.7957 1.2409
2.3199 4.8212 3.7226
3.7938 0.2567 1.2409
3.7938 2.2823 3.7226
```

Properties
E_tot (eV/atom): -4.950

Record 4
Compound: BeTcIr
Source: OQMD via LeMat-Bulk
Functional: PBE
Structure: optimized geometry

The structure in POSCAR format:
```
BeTcIr
1.0
2.7754 0.0000 0.0000
0.0000 2.7754 0.0000
0.0000 0.0000 9.5391
Be Tc Ir
2 2 2
Cartesian
0.0000 0.0000 0.0000
1.3877 1.3877 4.7695
0.0000 0.0000 6.3227
1.3877 1.3877 1.5532
0.0000 0.0000 3.3959
1.3877 1.3877 8.1655
```

Properties
E_tot (eV/atom): -7.990

Record 5
Compound: NaTcTePb
Source: OQMD via LeMat-Bulk
Functional: PBE
Structure: optimized geometry

The structure in POSCAR format:
```
NaTcTePb
1.0
7.2063 0.0000 0.0000
0.0000 7.2063 0.0000
0.0000 0.0000 7.2063
Na Tc Te Pb
4 4 4 4
Cartesian
0.0000 0.0000 0.0000
0.0000 3.6031 3.6031
3.6031 0.0000 3.6031
3.6031 3.6031 0.0000
1.8016 1.8016 5.4047
1.8016 5.4047 1.8016
5.4047 1.8016 1.8016
5.4047 5.4047 5.4047
0.0000 0.0000 3.6031
0.0000 3.6031 0.0000
3.6031 0.0000 0.0000
3.6031 3.6031 3.6031
1.8016 1.8016 1.8016
1.8016 5.4047 5.4047
5.4047 1.8016 5.4047
5.4047 5.4047 1.8016
```

Properties
E_tot (eV/atom): -3.977

Record 6
Compound: Hf2Ag2Sn
Source: OQMD via LeMat-Bulk
Functional: PBE
Structure: optimized geometry

The structure in POSCAR format:
```
Hf2Ag2Sn
1.0
4.1274 0.0000 0.0000
0.0000 4.1274 0.0000
0.0000 0.0000 12.7324
Hf Ag Sn
4 4 2
Cartesian
0.0000 0.0000 1.3278
0.0000 0.0000 11.4047
2.0637 2.0637 5.0384
2.0637 2.0637 7.6940
0.0000 2.0637 3.1831
0.0000 2.0637 9.5493
2.0637 0.0000 3.1831
2.0637 0.0000 9.5493
0.0000 0.0000 6.3662
2.0637 2.0637 0.0000
```

Properties
E_tot (eV/atom): -5.516

Question: The highest E_tot belongs to which entry?
Answer: NaTcTePb

Question: E_tot of number 1 (ZrPdPb2)?
Answer: -5.234 eV/atom